[1]
PBE Sr2HfZnPt, optimized geometry; formation energy = 5.4 eV/f.u.; symmetry = P4/mmm; M_tot = 1.6 μB/f.u.; energy = -3.04 eV/atom
1.0
-3.4593 4.1128 -2.8419
0.8320 -2.2539 -4.2747
-4.8916 -3.4978 0.8923
Zn Hf Pt Sr
1 1 1 2
Direct
0.0000 0.5000 0.0000
0.0000 0.0000 0.0000
0.5000 0.5000 0.5000
0.5000 0.0000 0.0000
0.0000 0.0000 0.5000

---

[2]
PBE TaMn2Pb, optimized geometry; formation energy = 1.6 eV/f.u.; symmetry = Cm; M_tot = 4.0 μB/f.u.; energy = -8.08 eV/atom
1.0
-0.5092 -2.2246 4.7045
2.7970 -2.0666 3.9047
0.7054 2.6748 3.4446
Mn Pb Ta
2 1 1
Direct
0.2626 0.2626 0.2374
0.9993 0.9993 0.0012
0.5048 0.5048 0.4960
0.7333 0.7333 0.7654

---

[3]
PBE Sm2Pd5Rh, optimized geometry; formation energy = -5.7 eV/f.u.; symmetry = Pbam; M_tot = 0.0 μB/f.u.; energy = -6.05 eV/atom
1.0
-4.0762 -0.5237 0.1192
0.3940 -4.0430 -4.2905
1.3294 -8.4980 8.1299
Rh Pd Sm
2 10 4
Direct
0.0000 0.0000 0.5000
0.0000 0.5000 0.0000
0.5000 0.2487 0.3752
0.5000 0.7513 0.6248
0.5000 0.7487 0.1248
0.0000 0.0000 0.0000
0.0000 0.4981 0.2512
0.0000 0.5019 0.7488
0.5000 0.2513 0.8752
0.0000 0.5000 0.5000
0.0000 0.0019 0.7512
0.0000 0.9981 0.2488
0.5000 0.2453 0.6226
0.5000 0.7547 0.3774
0.5000 0.2547 0.1226
0.5000 0.7453 0.8774

---

[4]
PBE Li2Mg, optimized geometry; formation energy = -0.1 eV/f.u.; symmetry = C2/c; M_tot = 0.0 μB/f.u.; energy = -1.84 eV/atom
1.0
-4.2795 2.1315 -2.2119
-4.5411 0.0317 2.6698
-1.9074 5.2432 2.1532
Mg Li
2 4
Direct
0.0904 0.9096 0.7500
0.9096 0.0904 0.2500
0.2463 0.4210 0.2491
0.7537 0.5790 0.7509
0.5790 0.7537 0.2509
0.4210 0.2463 0.7491

---

[5]
PBE HoEr4Zr, optimized geometry; formation energy = 0.8 eV/f.u.; symmetry = C2/c; M_tot = 0.0 μB/f.u.; energy above the lowest structure with this stoichiometry = 0.081 eV/atom; energy = -5.10 eV/atom
1.0
-2.2917 4.3104 -3.8134
-5.0056 -7.3525 0.0070
-0.2021 4.1477 7.1862
Er Ho Zr
8 2 2
Direct
0.0411 0.1754 0.7699
0.2289 0.5945 0.7699
0.7711 0.4055 0.2301
0.6329 0.0928 0.3754
0.9589 0.8246 0.2301
0.3671 0.9072 0.6246
0.2425 0.2826 0.3754
0.7575 0.7174 0.6246
0.3434 0.5934 0.1868
0.6566 0.4066 0.8132
0.2473 0.9973 0.9945
0.7527 0.0027 0.0055

---

[6]
PBE NpU2O8, optimized geometry; E_form (uncorrected) = -2.921 eV/atom; symmetry = P-1; M_tot = 3.0 μB/f.u.; energy = -9.76 eV/atom
1.0
-3.0658 1.4264 1.3565
-4.3913 -5.5206 -0.4621
3.1276 -2.5456 5.3188
O U Np
8 2 1
Direct
0.8608 0.6691 0.9356
0.4658 0.2681 0.7672
0.5342 0.7319 0.2328
0.1392 0.3309 0.0644
0.2563 0.5977 0.6010
0.9486 0.0158 0.1957
0.0514 0.9842 0.8043
0.7437 0.4023 0.3990
0.8859 0.4344 0.7333
0.1141 0.5656 0.2667
0.5000 0.0000 0.0000

---

[7]
PBE Sm6Ag2Ir, optimized geometry; formation energy = -2.3 eV/f.u.; symmetry = P2_1/c; M_tot = 0.0 μB/f.u.; energy = -5.02 eV/atom
1.0
0.0226 -3.9673 5.4519
3.6785 -5.4416 -3.9751
9.1348 3.7372 3.3371
Ag Ir Sm
4 2 12
Direct
0.4349 0.1128 0.2463
0.9349 0.3872 0.7463
0.5651 0.8872 0.7537
0.0651 0.6128 0.2537
0.0000 0.0000 0.5000
0.5000 0.5000 0.0000
0.8500 0.6827 0.9374
0.8654 0.9778 0.2497
0.6771 0.1798 0.9476
0.3654 0.5222 0.7497
0.1771 0.3202 0.4476
0.6346 0.4778 0.2503
0.3500 0.8173 0.4374
0.6500 0.1827 0.5626
0.8229 0.6798 0.5524
0.3229 0.8202 0.0524
0.1500 0.3173 0.0626
0.1346 0.0222 0.7503

---

[8]
PBE Tb12Nd6Sm, optimized geometry; formation energy = 2.2 eV/f.u.; symmetry = R-3m; M_tot = 0.0 μB/f.u.; energy above the lowest structure with this stoichiometry = 0.000 eV/atom; energy = -4.56 eV/atom
1.0
8.4842 1.3086 1.5677
0.0072 8.5845 1.5677
0.0072 0.0084 8.7264
Nd Tb Sm
6 12 1
Direct
0.8361 0.2305 0.2306
0.1639 0.7695 0.7694
0.2305 0.2306 0.8361
0.7695 0.7694 0.1639
0.7694 0.1639 0.7695
0.2306 0.8361 0.2305
0.8630 0.8631 0.5155
0.4845 0.1370 0.1369
0.1369 0.4845 0.1370
0.5154 0.1968 0.5155
0.1370 0.1369 0.4845
0.5155 0.8630 0.8631
0.5155 0.5154 0.1968
0.8032 0.4845 0.4846
0.1968 0.5155 0.5154
0.4845 0.4846 0.8032
0.8631 0.5155 0.8630
0.4846 0.8032 0.4845
0.0000 0.0000 0.0000

---

[9]
PBE SrSiSb, optimized geometry; E_form (uncorrected) = -0.478 eV/atom; symmetry = C2/m; M_tot = 0.0 μB/f.u.; energy above the lowest structure with this stoichiometry = 0.000 eV/atom; energy = -4.22 eV/atom
1.0
8.5598 0.0000 -0.0018
0.0000 4.1665 0.0000
-5.3667 0.0000 10.4716
Sr Si Sb
4 4 4
Direct
0.2572 0.0000 0.1953
0.2572 0.5000 0.6953
0.7428 0.5000 0.3047
0.7428 0.0000 0.8047
0.3831 0.5000 0.0283
0.3831 0.0000 0.5283
0.6169 0.0000 0.4717
0.6169 0.5000 0.9717
0.1857 0.5000 0.3926
0.8143 0.5000 0.6074
0.8143 0.0000 0.1074
0.1857 0.0000 0.8926

---

[10]
PBE TiPWCl2, optimized geometry; E_form (uncorrected) = 0.624 eV/atom; symmetry = P4/mmm; M_tot = 0.3 μB/f.u.; energy above the lowest structure with this stoichiometry = 0.077 eV/atom; energy = -5.37 eV/atom
1.0
-1.8426 -0.3072 -4.3382
-3.5655 -2.5911 1.6979
-2.5476 4.0277 0.7968
P Cl Ti W
1 2 1 1
Direct
0.0000 0.0000 0.5000
0.5000 0.0000 0.0000
0.0000 0.5000 0.0000
0.5000 0.5000 0.5000
0.0000 0.0000 0.0000

---

[11]
PBE MgBe2AsSe, optimized geometry; E_form (uncorrected) = 0.440 eV/atom; symmetry = P4/mmm; M_tot = 0.0 μB/f.u.; energy = -3.00 eV/atom
1.0
-4.1081 0.7587 0.2852
-0.8893 -5.4336 1.6449
0.4868 1.1319 4.0019
Mg As Be Se
1 1 2 1
Direct
0.5000 0.5000 0.5000
0.0000 0.0000 0.0000
0.5000 0.0000 0.0000
0.0000 0.0000 0.5000
0.0000 0.5000 0.0000

---

[12]
PBE LiTbPa, optimized geometry; formation energy = 1.8 eV/f.u.; symmetry = Fmmm; M_tot = 0.0 μB/f.u.; energy = -4.75 eV/atom
1.0
5.4235 0.0000 0.0000
2.7117 2.8039 0.0000
2.7117 0.0000 11.2643
Pa Tb Li
2 2 2
Direct
0.7500 0.5000 0.5000
0.2500 0.5000 0.5000
0.6228 0.0000 0.7543
0.3772 0.0000 0.2457
0.7790 0.4419 0.0000
0.2210 0.5581 0.0000